Below is an optimized crystal structure of TbHg4Pb, with properties calculated at the PBE level.

Calculated values
DFT total energy, eV per cell: -21.59
Symmetry: P-1 (2)
Formation energy, eV per atom: -0.208
Excess energy over the best structure of this formula in the dataset, meV/atom: 0.0

a = 10.178 Å, b = 6.644 Å, c = 9.455 Å
α = 110.74°, β = 143.79°, γ = 89.85°
Fractional coordinates of all 12 atoms:
Tb 0.750 0.000 0.000
Tb 0.250 0.000 0.000
Hg 0.750 0.594 0.668
Hg 0.750 0.407 0.333
Hg 0.750 0.074 0.667
Hg 0.250 0.073 0.667
Hg 0.250 0.406 0.332
Hg 0.250 0.593 0.667
Hg 0.250 0.926 0.333
Hg 0.750 0.927 0.333
Pb 0.750 0.500 0.000
Pb 0.250 0.500 0.000

Below is an optimized crystal structure of KLa2Ag, with properties calculated at the PBE level.

Calculated values
DFT total energy, eV per cell: -12.80
Symmetry: Imm2 (44)
Formation energy, eV per atom: 0.250
Excess energy over the best structure of this formula in the dataset, meV/atom: 200.6

a = 7.155 Å, b = 7.155 Å, c = 7.155 Å
α = 149.00°, β = 130.97°, γ = 59.15°
Fractional coordinates of all 4 atoms:
Ag 0.511 0.511 0.000
K 0.292 0.792 0.500
La 0.990 0.990 0.000
La 0.707 0.207 0.500

Below is an optimized crystal structure of Ac6PdPtRh2, with properties calculated at the PBE level.

Calculated values
DFT total energy, eV per cell: -57.60
Symmetry: P1 (1)
Formation energy, eV per atom: -0.701

a = 7.557 Å, b = 7.554 Å, c = 8.266 Å
α = 62.81°, β = 62.80°, γ = 60.11°
Fractional coordinates of all 10 atoms:
Ac 0.599 0.243 0.249
Ac 0.244 0.908 0.248
Ac 0.909 0.598 0.249
Ac 0.403 0.744 0.750
Ac 0.742 0.104 0.751
Ac 0.103 0.403 0.751
Pd 0.826 0.826 0.522
Pt 0.327 0.327 0.019
Rh 0.505 0.505 0.485
Rh 0.003 0.003 0.991

Below is an optimized crystal structure of BaSrLa2Cu, with properties calculated at the PBE level.

Calculated values
DFT total energy, eV per cell: -17.04
Symmetry: P4/mmm (123)
Formation energy, eV per atom: 0.103

a = 5.826 Å, b = 5.826 Å, c = 6.162 Å
α = 90.00°, β = 90.00°, γ = 90.00°
Fractional coordinates of all 5 atoms:
Sr 0.000 0.000 0.500
Ba 0.500 0.500 0.500
Cu 0.000 0.000 0.000
La 0.000 0.500 0.000
La 0.500 0.000 0.000

Question: DFT total energy of number 3 (Ac6PdPtRh2)?
Answer: -57.60 eV per cell